Density functional theory data (PBE) for a relaxed structure of YHo2Tm3.

Cell: 9.2996 9.2996 6.0815 Å, 90.01 90.01 44.42°
Element x y z (fractional)
Y  0.1259  0.8741  0.7500
Y  0.8741  0.1259  0.2500
Ho  0.2086  0.4578  0.5821
Ho  0.4578  0.2086  0.0821
Ho  0.5422  0.7914  0.9179
Ho  0.7914  0.5422  0.4179
Tm  0.0420  0.2925  0.9160
Tm  0.2925  0.0420  0.4160
Tm  0.3755  0.6245  0.2500
Tm  0.6245  0.3755  0.7500
Tm  0.7075  0.9580  0.5840
Tm  0.9580  0.7075  0.0840

## Properties
* energy above the most stable polymorph in this dataset: 2.7 kJ/mol of atoms
* formation enthalpy at 0 K: 0.2 eV/f.u.


Density functional theory data (PBE) for a relaxed structure of Rb2ZrNi2Se4.

Cell: 7.4171 7.4171 8.2004 Å, 106.53 106.53 30.37°
Element x y z (fractional)
Rb  0.1351  0.1351  0.0572
Rb  0.8649  0.8649  0.9428
Zr  0.0000  0.0000  0.5000
Ni  0.3203  0.3203  0.5100
Ni  0.6797  0.6797  0.4900
Se  0.1982  0.1982  0.6645
Se  0.4799  0.4799  0.7230
Se  0.5201  0.5201  0.2770
Se  0.8018  0.8018  0.3355

## Properties
* E_form (uncorrected): -8.276 eV/f.u.


Density functional theory data (PBE) for a relaxed structure of Ga2NiBr.

Cell: 6.9054 6.9054 6.9054 Å, 90.00 90.00 90.00°
Element x y z (fractional)
Ga  0.2500  0.2500  0.2500
Ga  0.2500  0.2500  0.7500
Ga  0.2500  0.7500  0.2500
Ga  0.2500  0.7500  0.7500
Ga  0.7500  0.2500  0.2500
Ga  0.7500  0.2500  0.7500
Ga  0.7500  0.7500  0.2500
Ga  0.7500  0.7500  0.7500
Ni  0.0000  0.0000  0.0000
Ni  0.0000  0.5000  0.5000
Ni  0.5000  0.0000  0.5000
Ni  0.5000  0.5000  0.0000
Br  0.0000  0.0000  0.5000
Br  0.0000  0.5000  0.0000
Br  0.5000  0.0000  0.0000
Br  0.5000  0.5000  0.5000

## Properties
* energy above the most stable polymorph in this dataset: 41.9 kJ/mol of atoms
* E_form (uncorrected): 1.694 eV/f.u.


Density functional theory data (PBE) for a relaxed structure of Nd2BeP.

Cell: 4.0506 4.0506 27.3494 Å, 90.00 90.00 120.00°
Element x y z (fractional)
Nd  0.0000  0.0000  0.1098
Nd  0.0000  0.0000  0.8902
Nd  0.3333  0.6667  0.5569
Nd  0.3333  0.6667  0.7764
Nd  0.6667  0.3333  0.2236
Nd  0.6667  0.3333  0.4431
Be  0.0000  0.0000  0.0000
Be  0.3333  0.6667  0.6667
Be  0.6667  0.3333  0.3333
P  0.0000  0.0000  0.5000
P  0.3333  0.6667  0.1667
P  0.6667  0.3333  0.8333

## Properties
* formation enthalpy at 0 K: 0.1 eV/f.u.


Result set for V: 368 218 329 389 Å³ per cell, one per record in the order listed.